(1)
{
  "formula": "CdHgIN2",
  "functional": "PBE-GGA",
  "state": "relaxed",
  "crystal_system": "tetragonal",
  "final_energy_ev_per_atom": -2.3784,
  "space_group": "P4/mmm (123)",
  "e_above_lowest_polymorph_mev_per_atom": 0,
  "magmom_total_mub_per_fu": 3.92,
  "lattice": [[-2.1422, -2.1707, -3.3135], [-2.4452, -2.2390, 3.0476], [-4.5978, 4.7931, -0.1675]],
  "species": ["N", "Hg", "I", "N", "Cd"],
  "frac_coords": [[0.0000, 0.5000, 0.0000], [0.5000, 0.5000, 0.5000], [0.0000, 0.0000, 0.5000], [0.5000, 0.0000, 0.0000], [0.0000, 0.0000, 0.0000]]
}

(2)
{
  "formula": "MnAlAg",
  "functional": "PBE-GGA",
  "state": "relaxed",
  "crystal_system": "orthorhombic",
  "final_energy_ev_per_atom": -5.1686,
  "space_group": "Imm2 (44)",
  "e_form_ev_per_atom": 0.0859,
  "e_above_lowest_polymorph_mev_per_atom": 80,
  "magmom_total_mub_per_fu": 3.40,
  "lattice": [[4.9140, 0.0153, -0.0079], [2.5587, 4.1954, 0.0079], [-3.3680, -2.7590, 2.2786]],
  "species": ["Ag", "Mn", "Al"],
  "frac_coords": [[0.0013, 0.0013, 0.0000], [0.3230, 0.3230, 0.0000], [0.6757, 0.6757, 0.0000]]
}

(3)
{
  "formula": "Si2PCl",
  "functional": "PBE-GGA",
  "state": "relaxed",
  "crystal_system": "cubic",
  "final_energy_ev_per_atom": -3.8993,
  "space_group": "F-43m (216)",
  "e_above_lowest_polymorph_mev_per_atom": 606,
  "magmom_total_mub_per_fu": 0.00,
  "lattice": [[-2.0507, 3.5912, 1.7663], [-4.4364, -0.0772, 0.7307], [-1.5836, -0.1574, 4.2059]],
  "species": ["Cl", "Si", "P", "Si"],
  "frac_coords": [[0.5000, 0.5000, 0.5000], [0.2500, 0.2500, 0.2500], [0.7500, 0.7500, 0.7500], [0.0000, 0.0000, 0.0000]]
}

(4)
{
  "formula": "U2AgAs4",
  "functional": "PBE-GGA",
  "state": "relaxed",
  "crystal_system": "tetragonal",
  "final_energy_ev_per_atom": -6.7801,
  "space_group": "P-4m2 (115)",
  "e_form_ev_per_atom": -0.4908,
  "magmom_total_mub_per_fu": 4.04,
  "lattice": [[3.9334, 0.0000, 0.0000], [0.0000, 3.9334, 0.0000], [0.0000, 0.0000, 9.9191]],
  "species": ["U", "As", "As", "As", "As", "Ag", "U"],
  "frac_coords": [[0.0000, 0.5000, 0.2713], [0.5000, 0.0000, 0.1857], [0.0000, 0.0000, 0.5000], [0.0000, 0.5000, 0.8143], [0.5000, 0.5000, 0.5000], [0.5000, 0.5000, 0.0000], [0.5000, 0.0000, 0.7287]]
}

(5)
{
  "formula": "ZnIn2Ga2",
  "functional": "PBE-GGA",
  "state": "relaxed",
  "crystal_system": "tetragonal",
  "final_energy_ev_per_atom": -2.3595,
  "space_group": "I4/mmm (139)",
  "e_form_ev_per_atom": 0.2014,
  "e_above_lowest_polymorph_mev_per_atom": 136,
  "magmom_total_mub_per_fu": 0.00,
  "lattice": [[-2.3977, 3.4821, -1.4299], [-3.7635, -2.2519, 0.8267], [-3.1849, 2.8655, 5.3535]],
  "species": ["In", "Ga", "Zn", "Ga", "In"],
  "frac_coords": [[0.7500, 0.2500, 0.5000], [0.3986, 0.3986, 0.2027], [0.0000, 0.0000, 0.0000], [0.6014, 0.6014, 0.7973], [0.2500, 0.7500, 0.5000]]
}

(6)
{
  "formula": "Sm12Rh3C5",
  "functional": "PBE-GGA",
  "state": "relaxed",
  "crystal_system": "cubic",
  "final_energy_ev_per_atom": -6.4160,
  "space_group": "Ia-3d (230)",
  "e_form_ev_per_atom": -0.1758,
  "magmom_total_mub_per_fu": 0.00,
  "lattice": [[-1.1761, -3.4465, 13.1494], [-3.2293, -10.7084, -7.8149], [12.8495, 3.7989, -2.5744]],
  "species": ["Sm", "Rh", "C", "Sm", "Sm", "Sm", "C", "C", "Sm", "C", "C", "Sm", "Sm", "Rh", "Rh", "Rh", "Rh", "C", "Sm", "Sm", "Rh", "C", "Sm", "C", "Rh", "Rh", "C", "Sm", "Sm", "Sm", "Sm", "Sm", "Sm", "Sm", "Sm", "Sm", "C", "Rh", "Sm", "C", "Sm", "Sm", "C", "Sm", "Sm", "C", "Sm", "Sm", "Sm", "Sm", "Sm", "C", "Sm", "Sm", "Sm", "C", "Sm", "Sm", "Rh", "C", "Sm", "C", "Rh", "C", "Sm", "Sm", "Sm", "Sm", "Sm", "C", "Sm", "C", "Sm", "Sm", "Sm", "Rh", "Sm", "Sm", "Sm", "Sm"],
  "frac_coords": [[0.5831, 0.7073, 0.6784], [0.8750, 0.1250, 0.2500], [0.3750, 0.2500, 0.1250], [0.4711, 0.6784, 0.0953], [0.9711, 0.5953, 0.1784], [0.2073, 0.5289, 0.6242], [0.0000, 0.5000, 0.5000], [0.6250, 0.7500, 0.8750], [0.1784, 0.0953, 0.9711], [0.0000, 0.5000, 0.0000], [0.7500, 0.1250, 0.8750], [0.6242, 0.5953, 0.9169], [0.6242, 0.0289, 0.2073], [0.1250, 0.2500, 0.8750], [0.1250, 0.8750, 0.7500], [0.6250, 0.2500, 0.3750], [0.2500, 0.6250, 0.8750], [0.0000, 0.0000, 0.5000], [0.4711, 0.7927, 0.8758], [0.5289, 0.3216, 0.9047], [0.2500, 0.1250, 0.3750], [0.5000, 0.5000, 0.0000], [0.1242, 0.4169, 0.0953], [0.6250, 0.8750, 0.2500], [0.3750, 0.7500, 0.6250], [0.3750, 0.6250, 0.2500], [0.8750, 0.6250, 0.7500], [0.9047, 0.8216, 0.5289], [0.2073, 0.6784, 0.0831], [0.3216, 0.5289, 0.4047], [0.4047, 0.3758, 0.5831], [0.8216, 0.9169, 0.2927], [0.0831, 0.1784, 0.2073], [0.6784, 0.2073, 0.5831], [0.3216, 0.7927, 0.4169], [0.0953, 0.9169, 0.1242], [0.8750, 0.2500, 0.6250], [0.7500, 0.3750, 0.1250], [0.5831, 0.8758, 0.4047], [0.2500, 0.8750, 0.1250], [0.1784, 0.0831, 0.7073], [0.5953, 0.6242, 0.4169], [0.3750, 0.1250, 0.7500], [0.2927, 0.4169, 0.8216], [0.0953, 0.1784, 0.4711], [0.1250, 0.7500, 0.3750], [0.5953, 0.9711, 0.6784], [0.9169, 0.8216, 0.7927], [0.3758, 0.9711, 0.7927], [0.8758, 0.5831, 0.9047], [0.5289, 0.2073, 0.1242], [0.2500, 0.3750, 0.6250], [0.0289, 0.6242, 0.7073], [0.8758, 0.2927, 0.4711], [0.9169, 0.0953, 0.6242], [0.5000, 0.5000, 0.5000], [0.8216, 0.9047, 0.0289], [0.4169, 0.1242, 0.5953], [0.6250, 0.3750, 0.7500], [0.5000, 0.0000, 0.5000], [0.9711, 0.3758, 0.2927], [0.5000, 0.0000, 0.0000], [0.8750, 0.7500, 0.1250], [0.7500, 0.6250, 0.3750], [0.7073, 0.1242, 0.0289], [0.7927, 0.4711, 0.3758], [0.2927, 0.8758, 0.9711], [0.3758, 0.4047, 0.0831], [0.0289, 0.4047, 0.8216], [0.0000, 0.0000, 0.0000], [0.1242, 0.7073, 0.5289], [0.1250, 0.3750, 0.2500], [0.9047, 0.0831, 0.8758], [0.6784, 0.4711, 0.5953], [0.7073, 0.5831, 0.1784], [0.7500, 0.8750, 0.6250], [0.0831, 0.9047, 0.3758], [0.4047, 0.0289, 0.3216], [0.7927, 0.3216, 0.9169], [0.4169, 0.2927, 0.3216]]
}

(7)
{
  "formula": "Rh5C",
  "functional": "PBE-GGA",
  "state": "relaxed",
  "crystal_system": "tetragonal",
  "final_energy_ev_per_atom": -7.2375,
  "space_group": "P4/mmm (123)",
  "e_form_ev_per_atom": 0.4261,
  "e_above_lowest_polymorph_mev_per_atom": 184,
  "magmom_total_mub_per_fu": 0.00,
  "lattice": [[-2.3170, -0.9797, 0.9899], [-0.1304, -1.7605, -2.0475], [5.3951, -7.0136, 5.6868]],
  "species": ["Rh", "C", "Rh", "Rh", "Rh", "Rh"],
  "frac_coords": [[0.0000, 0.0000, 0.1231], [0.5000, 0.5000, 0.0000], [0.0000, 0.0000, 0.8769], [0.5000, 0.5000, 0.3193], [0.0000, 0.0000, 0.5000], [0.5000, 0.5000, 0.6807]]
}

(8)
{
  "formula": "KRb3Pd",
  "functional": "PBE-GGA",
  "state": "relaxed",
  "crystal_system": "cubic",
  "final_energy_ev_per_atom": -1.1316,
  "space_group": "Pm-3m (221)",
  "e_form_ev_per_atom": 0.7070,
  "e_above_lowest_polymorph_mev_per_atom": 660,
  "magmom_total_mub_per_fu": 0.00,
  "lattice": [[-3.5608, -2.9999, -5.6777], [-4.3879, -3.6034, 4.6559], [-4.6885, 5.6508, -0.0453]],
  "species": ["Pd", "K", "Rb", "Rb", "Rb"],
  "frac_coords": [[0.5000, 0.5000, 0.5000], [0.0000, 0.0000, 0.0000], [0.0000, 0.5000, 0.0000], [0.0000, 0.0000, 0.5000], [0.5000, 0.0000, 0.0000]]
}

(9)
{
  "formula": "Te2SeBr",
  "functional": "PBE-GGA",
  "state": "relaxed",
  "crystal_system": "monoclinic",
  "final_energy_ev_per_atom": -2.7292,
  "space_group": "C2/m (12)",
  "e_above_lowest_polymorph_mev_per_atom": 192,
  "magmom_total_mub_per_fu": 0.00,
  "lattice": [[-5.8884, 5.2907, -4.1721], [0.0165, -4.6638, 4.9486], [0.4887, 0.9955, 3.1526]],
  "species": ["Te", "Br", "Te", "Se"],
  "frac_coords": [[0.5000, 0.0000, 0.5000], [0.0000, 0.5000, 0.5000], [0.0000, 0.0000, 0.0000], [0.5000, 0.5000, 0.0000]]
}

(10)
{
  "formula": "ReW",
  "functional": "PBE-GGA",
  "state": "relaxed",
  "crystal_system": "monoclinic",
  "final_energy_ev_per_atom": -12.5862,
  "space_group": "P2_1/m (11)",
  "e_form_ev_per_atom": 0.1144,
  "e_above_lowest_polymorph_mev_per_atom": 22,
  "magmom_total_mub_per_fu": 0.00,
  "lattice": [[2.7250, -0.2383, 0.0000], [-0.5228, 5.2048, 0.0000], [0.0000, 0.0000, 4.4432]],
  "species": ["Re", "W", "W", "Re"],
  "frac_coords": [[0.1497, 0.3712, 0.7500], [0.3852, 0.1291, 0.2500], [0.6148, 0.8709, 0.7500], [0.8503, 0.6288, 0.2500]]
}

(11)
{
  "formula": "CsCr3Cl",
  "functional": "PBE-GGA",
  "state": "relaxed",
  "crystal_system": "cubic",
  "final_energy_ev_per_atom": -4.2333,
  "space_group": "Pm-3m (221)",
  "e_above_lowest_polymorph_mev_per_atom": 840,
  "magmom_total_mub_per_fu": 17.61,
  "lattice": [[6.3006, 0.0000, 0.0000], [0.0000, 6.3006, 0.0000], [0.0000, 0.0000, 6.3006]],
  "species": ["Cs", "Cl", "Cr", "Cr", "Cr"],
  "frac_coords": [[0.0000, 0.0000, 0.0000], [0.5000, 0.5000, 0.5000], [0.0000, 0.5000, 0.0000], [0.5000, 0.0000, 0.0000], [0.0000, 0.0000, 0.5000]]
}

(12)
{
  "formula": "CaPdF2",
  "functional": "PBE-GGA",
  "state": "relaxed",
  "crystal_system": "trigonal",
  "final_energy_ev_per_atom": -4.7587,
  "space_group": "R-3m (166)",
  "e_above_lowest_polymorph_mev_per_atom": 238,
  "magmom_total_mub_per_fu": 0.00,
  "lattice": [[-1.9048, -3.2845, -1.4614], [2.2425, -3.3021, 0.7871], [-1.6818, -2.0491, 3.0862]],
  "species": ["Pd", "F", "F", "Ca"],
  "frac_coords": [[0.5000, 0.5000, 0.5000], [0.7360, 0.7360, 0.7360], [0.2640, 0.2640, 0.2640], [0.0000, 0.0000, 0.0000]]
}